Compound: Sr3VSb2O9
Source: the Alexandria database
Functional: PBE+U
Structure: relaxed

## Properties
calculated volume = 204.8 Å³/cell
total DFT energy (no corrections) = -6.5193 eV per atom

Geometry as CIF:
```
data_Sr3VSb2O9
_cell_length_a 5.7699
_cell_length_b 5.7699
_cell_length_c 7.1044
_cell_angle_alpha 90.00
_cell_angle_beta 90.00
_cell_angle_gamma 120.00
_symmetry_space_group_name_H-M 'P 1'
_symmetry_Int_Tables_number 1
loop_
_symmetry_equiv_pos_as_xyz
'x,y,z'
loop_
_atom_site_label
_atom_site_type_symbol
_atom_site_fract_x
_atom_site_fract_y
_atom_site_fract_z
_atom_site_occupancy
Sr1 Sr 0.3333 0.6667 0.6600 1
Sr2 Sr 0.0000 0.0000 0.0000 1
Sr3 Sr 0.6667 0.3333 0.3400 1
V1 V 0.0000 0.0000 0.5000 1
Sb1 Sb 0.3333 0.6667 0.1743 1
Sb2 Sb 0.6667 0.3333 0.8257 1
O1 O 0.8331 0.1669 0.6671 1
O2 O 0.8331 0.6663 0.6671 1
O3 O 0.3337 0.1669 0.6671 1
O4 O 0.6663 0.8331 0.3329 1
O5 O 0.1669 0.3337 0.3329 1
O6 O 0.1669 0.8331 0.3329 1
O7 O 0.5000 0.0000 0.0000 1
O8 O 0.0000 0.5000 0.0000 1
O9 O 0.5000 0.5000 0.0000 1
```